Compound: LaNdGa
Source: Alexandria
Functional: GGA-PBE
Structure: relaxed

a = 4.587 Å, b = 8.189 Å, c = 8.189 Å
α = 120.00°, β = 90.00°, γ = 90.00°
Fractional positions:
La 0.500 0.405 0.405
La 0.500 0.000 0.595
La 0.500 0.595 0.000
Nd 0.000 0.731 0.731
Nd 0.000 0.000 0.269
Nd 0.000 0.269 0.000
Ga 0.000 0.333 0.667
Ga 0.000 0.667 0.333
Ga 0.500 0.000 0.000

## Properties
The total DFT energy (no corrections) is -41.867 eV for the cell shown. As for the density of states at the Fermi level: 3.2 states/eV/f.u. Its density is 6.6 g/cm3.

***

Compound: LaNd3Ga4O12
Source: Alexandria
Functional: GGA-PBE
Structure: relaxed

a = 7.822 Å, b = 5.495 Å, c = 5.603 Å
α = 89.92°, β = 90.00°, γ = 90.00°
Fractional positions:
La 0.500 0.490 0.541
Nd 0.500 0.013 0.049
Nd 0.000 0.513 0.449
Nd 0.000 0.988 0.952
Ga 0.249 0.001 0.501
Ga 0.751 0.500 0.998
Ga 0.751 0.001 0.501
Ga 0.249 0.500 0.998
O 0.500 0.586 0.982
O 0.500 0.922 0.478
O 0.000 0.414 0.022
O 0.000 0.088 0.523
O 0.294 0.207 0.794
O 0.707 0.288 0.289
O 0.796 0.788 0.210
O 0.202 0.710 0.709
O 0.204 0.788 0.210
O 0.798 0.710 0.709
O 0.706 0.207 0.794
O 0.293 0.288 0.289

## Properties
The total DFT energy (no corrections) is -143.744 eV for the cell shown. As for the density of states at the Fermi level: 0.0 states/eV/f.u. Its density is 7.2 g/cm3.

***

Compound: La3NdGa4O12
Source: Alexandria
Functional: GGA-PBE
Structure: relaxed

a = 5.511 Å, b = 5.511 Å, c = 9.680 Å
α = 72.98°, β = 72.98°, γ = 60.93°
Fractional positions:
La 0.875 0.125 0.000
La 0.124 0.374 0.251
La 0.626 0.876 0.749
Nd 0.375 0.625 0.500
Ga 0.750 0.999 0.376
Ga 0.250 0.501 0.874
Ga 0.001 0.250 0.624
Ga 0.499 0.750 0.126
O 0.952 0.048 0.500
O 0.444 0.556 0.000
O 0.088 0.911 0.214
O 0.589 0.413 0.712
O 0.587 0.411 0.288
O 0.089 0.912 0.786
O 0.411 0.092 0.535
O 0.909 0.588 0.035
O 0.908 0.589 0.465
O 0.412 0.091 0.965
O 0.552 0.941 0.253
O 0.059 0.448 0.747

## Properties
The total DFT energy (no corrections) is -144.348 eV for the cell shown. As for the density of states at the Fermi level: 0.0 states/eV/f.u. Its density is 7.1 g/cm3.

***

Compound: La3NdGa4O12
Source: Alexandria
Functional: GGA-PBE
Structure: relaxed

a = 7.860 Å, b = 5.588 Å, c = 5.541 Å
α = 89.89°, β = 90.00°, γ = 90.00°
Fractional positions:
Nd 0.000 0.044 0.511
O 0.000 0.479 0.422
O 0.000 0.983 0.086
O 0.500 0.516 0.578
O 0.500 0.016 0.923
O 0.205 0.788 0.712
O 0.794 0.283 0.782
O 0.710 0.213 0.285
O 0.292 0.712 0.213
O 0.290 0.213 0.285
O 0.708 0.712 0.213
O 0.795 0.788 0.712
O 0.206 0.283 0.782
Ga 0.249 0.502 0.500
Ga 0.751 0.999 0.000
Ga 0.751 0.502 0.500
Ga 0.249 0.999 0.000
La 0.000 0.536 0.992
La 0.500 0.966 0.492
La 0.500 0.464 0.009

## Properties
The total DFT energy (no corrections) is -144.520 eV for the cell shown. As for the density of states at the Fermi level: 0.0 states/eV/f.u. Its density is 7.0 g/cm3.